No. 1
Ho3Mg3InAgHg | PBE | relaxed

Lattice parameters (Å, degrees): 7.752 7.752 4.205 90.00 90.00 120.00
Fractional coordinates of all 9 atoms:
1 Ag 0.000 0.000 0.500
2 Hg 0.667 0.333 0.000
3 Ho 0.413 0.008 0.500
4 Ho 0.992 0.405 0.500
5 Ho 0.595 0.587 0.500
6 In 0.333 0.667 0.000
7 Mg 0.756 0.001 0.000
8 Mg 0.246 0.244 0.000
9 Mg 0.999 0.754 0.000

M_tot   0.0 μB/f.u.
VASP energy   -3.053 eV/atom

***

No. 2
LaGaHg2 | PBE | relaxed

Lattice parameters (Å, degrees): 4.905 6.833 6.833 118.89 90.00 90.00
Fractional coordinates of all 8 atoms:
1 Ga 0.750 0.837 0.692
2 Ga 0.250 0.692 0.837
3 Hg 0.750 0.834 0.144
4 Hg 0.750 0.320 0.155
5 Hg 0.250 0.155 0.320
6 Hg 0.250 0.144 0.834
7 La 0.250 0.674 0.345
8 La 0.750 0.345 0.674

M_tot   0.0 μB/f.u.
VASP energy   -2.581 eV/atom

***

No. 3
YCoRePb | PBE | relaxed

Lattice parameters (Å, degrees): 4.729 4.729 4.729 60.00 60.00 60.00
Last column: magnetic moment on the atom in μB.
Fractional coordinates of all 4 atoms:
1 Co 0.750 0.750 0.750  0.34
2 Pb 0.000 0.000 0.000  -0.01
3 Re 0.250 0.250 0.250  0.42
4 Y 0.500 0.500 0.500  0.03

Excess energy over the best structure of this formula in the dataset   0.000 eV per atom
M_tot   0.8 μB/f.u.

***

No. 4
PrNbB | PBE | relaxed

Lattice parameters (Å, degrees): 4.634 4.634 4.634 60.00 60.00 60.00
Fractional coordinates of all 3 atoms:
1 B 0.250 0.250 0.250
2 Nb 0.750 0.750 0.750
3 Pr 0.000 0.000 0.000

Excess energy over the best structure of this formula in the dataset   1.383 eV per atom
M_tot   2.9 μB/f.u.

***

No. 5
HoInHgTe3 | PBE | relaxed

Lattice parameters (Å, degrees): 8.351 8.351 11.812 90.00 90.00 149.59
Fractional coordinates of all 12 atoms:
1 Hg 0.744 0.256 0.250
2 Hg 0.256 0.744 0.750
3 Ho 0.000 0.000 0.000
4 Ho 0.000 0.000 0.500
5 In 0.447 0.553 0.250
6 In 0.553 0.447 0.750
7 Te 0.367 0.633 0.041
8 Te 0.067 0.933 0.250
9 Te 0.367 0.633 0.459
10 Te 0.633 0.367 0.541
11 Te 0.933 0.067 0.750
12 Te 0.633 0.367 0.959

Excess energy over the best structure of this formula in the dataset   0.000 eV per atom
M_tot   0.0 μB/f.u.

***

No. 6
La2PmIn | PBE | relaxed

Lattice parameters (Å, degrees): 7.135 7.135 7.135 120.98 88.32 120.98
Fractional coordinates of all 8 atoms:
1 In 0.750 0.500 0.250
2 In 0.250 0.500 0.750
3 La 0.250 0.500 0.250
4 La 0.750 0.000 0.250
5 La 0.250 0.000 0.750
6 La 0.750 0.500 0.750
7 Pm 0.250 0.000 0.250
8 Pm 0.750 0.000 0.750

M_tot   0.0 μB/f.u.
VASP energy   -4.627 eV/atom

***

No. 7
AcTaAsO | PBE | relaxed

Lattice parameters (Å, degrees): 4.370 4.370 8.489 90.00 90.00 90.00
Fractional coordinates of all 8 atoms:
1 Ac 0.750 0.250 0.500
2 Ac 0.250 0.750 0.500
3 As 0.750 0.750 0.240
4 As 0.250 0.250 0.760
5 O 0.750 0.250 0.000
6 O 0.250 0.750 0.000
7 Ta 0.250 0.250 0.064
8 Ta 0.750 0.750 0.936

Excess energy over the best structure of this formula in the dataset   1.393 eV per atom
M_tot   0.0 μB/f.u.

***

No. 8
Dy3Re5N12 | PBE | relaxed

Lattice parameters (Å, degrees): 10.977 10.977 10.977 109.47 109.47 109.47
Fractional coordinates of all 80 atoms:
1 Dy 0.375 0.750 0.125
2 Dy 0.250 0.375 0.125
3 Dy 0.375 0.125 0.250
4 Dy 0.875 0.625 0.250
5 Dy 0.750 0.125 0.375
6 Dy 0.125 0.250 0.375
7 Dy 0.875 0.750 0.625
8 Dy 0.250 0.875 0.625
9 Dy 0.125 0.375 0.750
10 Dy 0.625 0.875 0.750
11 Dy 0.625 0.250 0.875
12 Dy 0.750 0.625 0.875
13 N 0.319 0.902 0.018
14 N 0.199 0.116 0.018
15 N 0.884 0.402 0.083
16 N 0.699 0.681 0.083
17 N 0.616 0.417 0.098
18 N 0.982 0.681 0.098
19 N 0.018 0.199 0.116
20 N 0.598 0.917 0.116
21 N 0.199 0.583 0.181
22 N 0.482 0.598 0.181
23 N 0.583 0.181 0.199
24 N 0.116 0.018 0.199
25 N 0.319 0.917 0.301
26 N 0.482 0.384 0.301
27 N 0.902 0.018 0.319
28 N 0.917 0.301 0.319
29 N 0.301 0.482 0.384
30 N 0.583 0.902 0.384
31 N 0.819 0.518 0.402
32 N 0.083 0.884 0.402
33 N 0.098 0.616 0.417
34 N 0.819 0.801 0.417
35 N 0.598 0.181 0.482
36 N 0.384 0.301 0.482
37 N 0.616 0.699 0.518
38 N 0.402 0.819 0.518
39 N 0.181 0.199 0.583
40 N 0.902 0.384 0.583
41 N 0.917 0.116 0.598
42 N 0.181 0.482 0.598
43 N 0.417 0.098 0.616
44 N 0.699 0.518 0.616
45 N 0.098 0.982 0.681
46 N 0.083 0.699 0.681
47 N 0.518 0.616 0.699
48 N 0.681 0.083 0.699
49 N 0.884 0.982 0.801
50 N 0.417 0.819 0.801
51 N 0.518 0.402 0.819
52 N 0.801 0.417 0.819
53 N 0.982 0.801 0.884
54 N 0.402 0.083 0.884
55 N 0.018 0.319 0.902
56 N 0.384 0.583 0.902
57 N 0.301 0.319 0.917
58 N 0.116 0.598 0.917
59 N 0.681 0.098 0.982
60 N 0.801 0.884 0.982
61 Re 0.000 0.000 0.000
62 Re 0.500 0.000 0.000
63 Re 0.000 0.500 0.000
64 Re 0.500 0.500 0.000
65 Re 0.875 0.250 0.125
66 Re 0.750 0.875 0.125
67 Re 0.625 0.375 0.250
68 Re 0.125 0.875 0.250
69 Re 0.250 0.625 0.375
70 Re 0.625 0.750 0.375
71 Re 0.000 0.000 0.500
72 Re 0.500 0.000 0.500
73 Re 0.000 0.500 0.500
74 Re 0.500 0.500 0.500
75 Re 0.375 0.250 0.625
76 Re 0.750 0.375 0.625
77 Re 0.875 0.125 0.750
78 Re 0.375 0.625 0.750
79 Re 0.250 0.125 0.875
80 Re 0.125 0.750 0.875

M_tot   0.0 μB/f.u.
VASP energy   -9.284 eV/atom

***

No. 9
LaB2Pt6 | PBE | relaxed

Lattice parameters (Å, degrees): 5.665 5.665 5.559 90.00 90.00 120.00
Fractional coordinates of all 9 atoms:
1 B 0.667 0.333 0.500
2 B 0.333 0.667 0.500
3 La 0.000 0.000 0.000
4 Pt 0.500 0.000 0.248
5 Pt 0.000 0.500 0.248
6 Pt 0.500 0.500 0.248
7 Pt 0.500 0.000 0.752
8 Pt 0.000 0.500 0.752
9 Pt 0.500 0.500 0.752

M_tot   0.0 μB/f.u.
VASP energy   -6.769 eV/atom

***

No. 10
LaDySO2 | PBE | relaxed

Lattice parameters (Å, degrees): 3.924 3.924 6.747 90.00 90.00 120.00
Fractional coordinates of all 5 atoms:
1 Dy 0.000 0.000 0.283
2 La 0.667 0.333 0.722
3 O 0.667 0.333 0.362
4 O 0.000 0.000 0.620
5 S 0.333 0.667 0.013

M_tot   0.0 μB/f.u.
VASP energy   -7.883 eV/atom

***

No. 11
Ta3Nb3Os2 | PBE | relaxed

Lattice parameters (Å, degrees): 5.166 5.166 5.166 90.00 90.00 90.00
Fractional coordinates of all 8 atoms:
1 Nb 0.500 0.750 0.250
2 Nb 0.750 0.250 0.500
3 Nb 0.250 0.500 0.750
4 Os 0.250 0.250 0.250
5 Os 0.750 0.750 0.750
6 Ta 0.750 0.250 0.000
7 Ta 0.000 0.750 0.250
8 Ta 0.250 0.000 0.750

Formation energy from the elements   -0.292 eV per atom
M_tot   0.0 μB/f.u.

***

No. 12
SmCl2 | PBE | relaxed

Lattice parameters (Å, degrees): 8.647 8.647 8.647 60.00 60.00 60.00
Last column: magnetic moment on the atom in μB.
Fractional coordinates of all 6 atoms:
1 Cl 0.875 0.375 0.375  -0.01
2 Cl 0.375 0.375 0.375  -0.02
3 Cl 0.375 0.875 0.375  -0.02
4 Cl 0.375 0.375 0.875  -0.02
5 Sm 0.250 0.250 0.250  0.57
6 Sm 0.500 0.500 0.500  0.57

M_tot   1.0 μB/f.u.
VASP energy   -4.316 eV/atom

***

No. 13
Cu2Ag | PBE | relaxed

Lattice parameters (Å, degrees): 4.657 4.657 7.487 112.68 112.68 34.28
Fractional coordinates of all 6 atoms:
1 Ag 0.333 0.333 0.400
2 Ag 0.667 0.667 0.600
3 Cu 0.663 0.663 0.069
4 Cu 0.001 0.001 0.228
5 Cu 0.999 0.999 0.772
6 Cu 0.337 0.337 0.931

Excess energy over the best structure of this formula in the dataset   0.035 eV per atom
Formation energy from the elements   0.081 eV per atom

***

No. 14
AcAgO3 | PBE | relaxed

Lattice parameters (Å, degrees): 5.726 5.726 5.726 62.74 62.74 62.74
Fractional coordinates of all 10 atoms:
1 Ac 0.250 0.250 0.250
2 Ac 0.750 0.750 0.750
3 Ag 0.000 0.000 0.000
4 Ag 0.500 0.500 0.500
5 O 0.750 0.333 0.167
6 O 0.667 0.833 0.250
7 O 0.167 0.750 0.333
8 O 0.833 0.250 0.667
9 O 0.333 0.167 0.750
10 O 0.250 0.667 0.833

M_tot   0.0 μB/f.u.
VASP energy   -6.030 eV/atom

***

No. 15
Sc5Zn4Os | PBE | relaxed

Lattice parameters (Å, degrees): 3.305 3.305 16.719 90.00 90.00 90.00
Fractional coordinates of all 10 atoms:
1 Os 0.000 0.000 0.000
2 Sc 0.500 0.500 0.091
3 Sc 0.500 0.500 0.298
4 Sc 0.500 0.500 0.500
5 Sc 0.500 0.500 0.702
6 Sc 0.500 0.500 0.909
7 Zn 0.000 0.000 0.196
8 Zn 0.000 0.000 0.399
9 Zn 0.000 0.000 0.601
10 Zn 0.000 0.000 0.804

Formation energy from the elements   -0.417 eV per atom
M_tot   0.0 μB/f.u.

***

No. 16
LaNdEr | PBE | relaxed

Lattice parameters (Å, degrees): 5.559 5.559 5.559 60.00 60.00 60.00
Fractional coordinates of all 3 atoms:
1 Er 0.000 0.000 0.000
2 La 0.250 0.250 0.250
3 Nd 0.750 0.750 0.750

Excess energy over the best structure of this formula in the dataset   0.000 eV per atom
Formation energy from the elements   0.658 eV per atom
M_tot   0.0 μB/f.u.

***

No. 17
BeZnFeSn | PBE | relaxed

Lattice parameters (Å, degrees): 4.268 4.268 4.268 60.00 60.00 60.00
Last column: magnetic moment on the atom in μB.
Fractional coordinates of all 4 atoms:
1 Be 0.250 0.250 0.250  -0.02
2 Fe 0.750 0.750 0.750  1.00
3 Sn 0.000 0.000 0.000  -0.02
4 Zn 0.500 0.500 0.500  -0.01

Excess energy over the best structure of this formula in the dataset   0.000 eV per atom
M_tot   1.0 μB/f.u.

***

No. 18
PmAg | PBE | relaxed

Lattice parameters (Å, degrees): 4.699 4.699 4.699 60.00 60.00 60.00
Fractional coordinates of all 2 atoms:
1 Ag 0.000 0.000 0.000
2 Pm 0.250 0.250 0.250

Formation energy from the elements   0.449 eV per atom
M_tot   0.0 μB/f.u.

***

No. 19
BaZrAs2 | PBE | relaxed

Lattice parameters (Å, degrees): 5.112 5.112 5.112 60.00 60.00 60.00
Fractional coordinates of all 4 atoms:
1 As 0.000 0.000 0.000
2 As 0.250 0.250 0.250
3 Ba 0.750 0.750 0.750
4 Zr 0.500 0.500 0.500

M_tot   0.0 μB/f.u.
VASP energy   -4.835 eV/atom

***

No. 20
NaHoHgSe3 | PBE | relaxed

Lattice parameters (Å, degrees): 11.092 4.140 13.885 90.00 90.00 90.00
Fractional coordinates of all 24 atoms:
1 Hg 0.238 0.250 0.214
2 Hg 0.738 0.250 0.286
3 Hg 0.262 0.750 0.714
4 Hg 0.762 0.750 0.786
5 Ho 0.486 0.750 0.242
6 Ho 0.986 0.750 0.258
7 Ho 0.014 0.250 0.742
8 Ho 0.514 0.250 0.758
9 Na 0.218 0.750 0.007
10 Na 0.718 0.750 0.493
11 Na 0.282 0.250 0.507
12 Na 0.782 0.250 0.993
13 Se 0.430 0.250 0.105
14 Se 0.033 0.250 0.117
15 Se 0.733 0.750 0.160
16 Se 0.233 0.750 0.340
17 Se 0.533 0.250 0.383
18 Se 0.930 0.250 0.395
19 Se 0.070 0.750 0.605
20 Se 0.467 0.750 0.617
21 Se 0.767 0.250 0.660
22 Se 0.267 0.250 0.840
23 Se 0.967 0.750 0.883
24 Se 0.570 0.750 0.895

Excess energy over the best structure of this formula in the dataset   0.005 eV per atom
M_tot   0.0 μB/f.u.